Computed, not measured: crystalline BaCoP2O8 at its relaxed geometry at the PBE+U level of DFT.

Cell and atoms, written as POSCAR:
```
BaCoP2O8
1.0
2.3893 1.3795 7.7086
-2.3893 1.3795 7.7086
0.0000 -2.7589 7.7086
Ba Co P O
1 1 2 8
direct
0.0000 0.0000 0.0000
0.5000 0.5000 0.5000
0.2339 0.2339 0.2339
0.7661 0.7661 0.7661
0.1140 0.7508 0.4904
0.2492 0.5096 0.8860
0.3006 0.3006 0.3006
0.4904 0.1140 0.7508
0.5096 0.8860 0.2492
0.6994 0.6994 0.6994
0.7508 0.4904 0.1140
0.8860 0.2492 0.5096
```

Calculated values
calculated total energy: -6.824 eV/atom
crystal system: trigonal